The following is a PBE calculation of CrNiPt6 after structural relaxation, from Alexandria.

```
CrNiPt6
1.0
-2.653 -0.861 2.728
2.606 -2.262 1.820
2.353 6.105 4.216
Pt Cr Ni
6 1 1
Direct
0.500 0.000 0.750
0.500 0.000 0.250
0.000 0.500 0.250
0.000 0.500 0.750
0.500 0.500 0.000
0.500 0.500 0.500
0.000 0.000 0.500
0.000 0.000 0.000
```

Output
Final energy ... -6.628 eV/atom
Space-group type ... P4/mmm, No. 123
M_tot ... 0.345 μB/atom
DFT formation energy ... -0.172 eV per atom

***

The following is a PBE calculation of CrNi3Pt3 after structural relaxation, from Alexandria.

```
CrNi3Pt3
1.0
-3.795 -4.389 4.461
6.234 -3.108 2.246
0.548 4.965 5.350
Pt Ni Cr
12 12 4
Direct
0.211 0.117 0.433
0.067 0.789 0.617
0.711 0.383 0.567
0.383 0.567 0.711
0.933 0.289 0.883
0.117 0.433 0.211
0.433 0.211 0.117
0.617 0.067 0.789
0.567 0.711 0.383
0.883 0.933 0.289
0.789 0.617 0.067
0.289 0.883 0.933
0.586 0.086 0.414
0.283 0.217 0.783
0.217 0.783 0.283
0.605 0.395 0.895
0.783 0.283 0.217
0.105 0.105 0.105
0.086 0.414 0.586
0.414 0.586 0.086
0.717 0.717 0.717
0.895 0.605 0.395
0.914 0.914 0.914
0.395 0.895 0.605
0.596 0.904 0.096
0.904 0.096 0.596
0.096 0.596 0.904
0.404 0.404 0.404
```

Output
Final energy ... -6.390 eV/atom
Space-group type ... P2_13, No. 198
M_tot ... 0.194 μB/atom
DFT formation energy ... 0.052 eV per atom

***

The following is a PBE calculation of CrNi6Pt after structural relaxation, from Alexandria.

```
CrNi6Pt
1.0
4.215 -0.670 1.048
-1.050 4.137 1.049
0.182 0.199 5.700
Ni Cr Pt
6 1 1
Direct
0.254 0.254 0.491
0.372 0.872 0.257
0.628 0.128 0.743
0.872 0.372 0.257
0.128 0.628 0.743
0.746 0.746 0.509
0.500 0.500 0.000
0.000 0.000 0.000
```

Output
Final energy ... -6.323 eV/atom
Space-group type ... Fmmm, No. 69
M_tot ... 0.041 μB/atom
DFT formation energy ... -0.029 eV per atom
Energy relative to the lowest polymorph listed for this composition ... 0.000 kcal/mol of atoms